[1]
## YNi3Rh (PBE)

Data for crystalline YNi3Rh at its relaxed geometry.

Lattice parameters (Å, degrees): 4.5478 4.5478 4.5478 90.00 90.00 90.00
With the nearest neighbours (Å) after each atom.
Element x y z (fractional)
1 Y 0.0000 0.0000 0.0000  6 Ni 2.27
2 Ni 0.0000 0.0000 0.5000  2 Y 2.27
3 Ni 0.0000 0.5000 0.0000  2 Y 2.27
4 Ni 0.5000 0.0000 0.0000  2 Y 2.27
5 Rh 0.5000 0.5000 0.5000  12 Ni 3.22

Properties
Crystal system: cubic
Calculated volume in Å³/cell: 94.1
SG: No. 221
Offset from the most stable computed form in eV per atom: 1.070


[2]
## PmDy3Au2 (PBE)

Data for crystalline PmDy3Au2 at its relaxed geometry.

Lattice parameters (Å, degrees): 3.8158 9.7878 8.9435 90.00 90.00 90.00
With the nearest neighbours (Å) after each atom.
Element x y z (fractional)
1 Pm 0.0000 0.0763 0.0000  4 Au 3.12-3.15
2 Pm 0.0000 0.9237 0.5000  4 Au 3.12-3.15
3 Dy 0.0000 0.2880 0.6481  3 Au 2.89-2.94
4 Dy 0.0000 0.7120 0.1481  3 Au 2.89-2.94
5 Dy 0.5000 0.2157 0.3249  3 Au 2.89-3.01
6 Dy 0.5000 0.4308 0.9774  4 Au 3.07-3.15
7 Dy 0.5000 0.5692 0.4774  4 Au 3.07-3.15
8 Dy 0.5000 0.7843 0.8249  3 Au 2.89-3.01
9 Au 0.0000 0.4284 0.2571  7 Dy 2.89-3.15
10 Au 0.0000 0.5716 0.7571  7 Dy 2.89-3.15
11 Au 0.5000 0.0763 0.7195  3 Dy 2.89-3.01, 4 Pm 3.12-3.15
12 Au 0.5000 0.9237 0.2195  3 Dy 2.89-3.01, 4 Pm 3.12-3.15

Properties
Crystal system: orthorhombic
Calculated volume in Å³/cell: 334.0
SG: No. 26
Offset from the most stable computed form in eV per atom: 0.000


[3]
## LaCo2Os (PBE)

Data for crystalline LaCo2Os at its relaxed geometry.

Lattice parameters (Å, degrees): 6.4342 6.4342 6.4342 90.00 90.00 90.00
With the nearest neighbours (Å) after each atom.
Element x y z (fractional)
1 La 0.0000 0.0000 0.0000  8 Co 2.79
2 La 0.0000 0.5000 0.5000  8 Co 2.79
3 La 0.5000 0.0000 0.5000  8 Co 2.79
4 La 0.5000 0.5000 0.0000  8 Co 2.79
5 Co 0.2500 0.2500 0.2500  4 La 2.79, 4 Os 2.79
6 Co 0.2500 0.2500 0.7500  4 La 2.79, 4 Os 2.79
7 Co 0.2500 0.7500 0.2500  4 La 2.79, 4 Os 2.79
8 Co 0.2500 0.7500 0.7500  4 La 2.79, 4 Os 2.79
9 Co 0.7500 0.2500 0.2500  4 La 2.79, 4 Os 2.79
10 Co 0.7500 0.2500 0.7500  4 La 2.79, 4 Os 2.79
11 Co 0.7500 0.7500 0.2500  4 La 2.79, 4 Os 2.79
12 Co 0.7500 0.7500 0.7500  4 La 2.79, 4 Os 2.79
13 Os 0.0000 0.0000 0.5000  8 Co 2.79
14 Os 0.0000 0.5000 0.0000  8 Co 2.79
15 Os 0.5000 0.0000 0.0000  8 Co 2.79
16 Os 0.5000 0.5000 0.5000  8 Co 2.79

Properties
Crystal system: cubic
Calculated volume in Å³/cell: 266.4
SG: No. 225
Offset from the most stable computed form in eV per atom: 0.464


[4]
## Mn2RhBr (PBE)

Data for crystalline Mn2RhBr at its relaxed geometry.

Lattice parameters (Å, degrees): 3.0710 3.0710 24.2534 90.00 90.00 120.00
With the nearest neighbours (Å) after each atom.
Element x y z (fractional)
1 Mn 0.0000 0.0000 0.0000  3 Rh 2.49, 3 Mn 2.71
2 Mn 0.0000 0.0000 0.2491  3 Br 2.58, 3 Mn 2.71
3 Mn 0.3333 0.6667 0.6667  3 Rh 2.49, 3 Mn 2.71
4 Mn 0.3333 0.6667 0.9158  3 Br 2.58, 3 Mn 2.71
5 Mn 0.6667 0.3333 0.3333  3 Rh 2.49, 3 Mn 2.71
6 Mn 0.6667 0.3333 0.5824  3 Br 2.58, 3 Mn 2.71
7 Rh 0.0000 0.0000 0.7385  3 Mn 2.49
8 Rh 0.3333 0.6667 0.4051  3 Mn 2.49
9 Rh 0.6667 0.3333 0.0718  3 Mn 2.49
10 Br 0.0000 0.0000 0.5049  3 Mn 2.58
11 Br 0.3333 0.6667 0.1715  3 Mn 2.58
12 Br 0.6667 0.3333 0.8382  3 Mn 2.58

Properties
Raw formation energy in kJ/mol of formula units: 143
Crystal system: trigonal
Calculated volume in Å³/cell: 198.1
SG: No. 160
Offset from the most stable computed form in eV per atom: 0.332